DFT (PBE-GGA) results for CrW3 after structural relaxation.

extended XYZ file:
```
4
Lattice="-0.1182 -2.8467 -0.7060 6.5613 2.4314 -4.8005 1.3261 -1.9905 1.7017" Properties=species:S:1:pos:R:3 pbc="T T T"
Cr 0.0000 0.0000 0.0000
W 5.3257 0.6264 -3.4174
W 3.8846 -1.2029 -1.9024
W 2.4434 -3.0321 -0.3874
```

## Properties
D(E_F), states/eV/atom: 0.718
Formation enthalpy at 0 K, eV/atom: 0.427